Entry i
A plane-wave DFT calculation with PBE was carried out for a geometry-optimized KSb2TeMo structure.

* SG: P4/mmm (123)
* DOS at the Fermi energy: 5.4 states/eV/cell

Unit cell a=5.288 b=5.288 c=5.658 alpha=90.00 beta=90.00 gamma=90.00
Positions (direct):
K (0.000, 0.000, 0.000)
Sb (0.000, 0.500, 0.500)
Sb (0.500, 0.000, 0.500)
Te (0.500, 0.500, 0.000)
Mo (0.500, 0.500, 0.500)

=====

Entry ii
A plane-wave DFT calculation with PBE was carried out for a geometry-optimized KSb2TeMo structure.

* SG: P4/mmm (123)
* DOS at the Fermi energy: 16.2 states/eV/cell

Unit cell a=5.516 b=5.516 c=5.652 alpha=90.00 beta=90.00 gamma=90.00
Positions (direct):
K (0.000, 0.000, 0.000)
Sb (0.000, 0.500, 0.000)
Sb (0.500, 0.000, 0.000)
Te (0.000, 0.000, 0.500)
Mo (0.500, 0.500, 0.500)

=====

Stability, descending: entry i, entry ii